No. 1
# PBE-GGA Ac5Pr2Sm5, optimized geometry
# Formation enthalpy at 0 K ... 0.48 eV/f.u.
# M_tot ... 0.000 μB/f.u.
data_Ac5Pr2Sm5
_cell_length_a 5.3575
_cell_length_b 8.4819
_cell_length_c 11.4119
_cell_angle_alpha 72.73
_cell_angle_beta 76.42
_cell_angle_gamma 71.59
_symmetry_space_group_name_H-M 'P 1'
_symmetry_Int_Tables_number 1
_symmetry_space_group_name_Hall 'P 1'
loop_
_atom_site_label
_atom_site_type_symbol
_atom_site_fract_x
_atom_site_fract_y
_atom_site_fract_z
_atom_site_occupancy
Ac1 Ac 0.8388 0.8258 0.4967 1
Ac2 Ac 0.2515 0.7429 0.7541 1
Ac3 Ac 0.7485 0.2571 0.2459 1
Ac4 Ac 0.1612 0.1742 0.5033 1
Ac5 Ac 0.0000 0.0000 0.0000 1
Pr1 Pr 0.9169 0.4102 0.7561 1
Pr2 Pr 0.0831 0.5898 0.2439 1
Sm1 Sm 0.5000 0.5000 0.5000 1
Sm2 Sm 0.3320 0.3351 0.0008 1
Sm3 Sm 0.4205 0.9110 0.2481 1
Sm4 Sm 0.5795 0.0890 0.7519 1
Sm5 Sm 0.6680 0.6649 0.9992 1


No. 2
# PBE-GGA Ac4Pr7Sm, optimized geometry
# Formation enthalpy at 0 K ... 0.37 eV/f.u.
# M_tot ... 0.000 μB/f.u.
data_Ac4Pr7Sm
_cell_length_a 3.8151
_cell_length_b 3.8151
_cell_length_c 37.0625
_cell_angle_alpha 90.00
_cell_angle_beta 90.00
_cell_angle_gamma 120.00
_symmetry_space_group_name_H-M 'P 1'
_symmetry_Int_Tables_number 1
_symmetry_space_group_name_Hall 'P 1'
loop_
_atom_site_label
_atom_site_type_symbol
_atom_site_fract_x
_atom_site_fract_y
_atom_site_fract_z
_atom_site_occupancy
Ac1 Ac 0.3333 0.6667 0.9153 1
Ac2 Ac 0.6667 0.3333 0.0847 1
Ac3 Ac 0.3333 0.6667 0.6647 1
Ac4 Ac 0.6667 0.3333 0.3353 1
Pr1 Pr 0.0000 0.0000 0.0000 1
Pr2 Pr 0.3333 0.6667 0.4205 1
Pr3 Pr 0.6667 0.3333 0.5795 1
Pr4 Pr 0.3333 0.6667 0.1696 1
Pr5 Pr 0.6667 0.3333 0.8304 1
Pr6 Pr 0.0000 0.0000 0.7497 1
Pr7 Pr 0.0000 0.0000 0.2503 1
Sm1 Sm 0.0000 0.0000 0.5000 1


No. 3
# PBE-GGA AcPr4Sm7, optimized geometry
# Formation enthalpy at 0 K ... 3.09 eV/f.u.
# Distance to the lowest polymorph of the same formula ... 239.3 meV per atom
# M_tot ... 0.028 μB/f.u.
data_AcPr4Sm7
_cell_length_a 6.2352
_cell_length_b 11.7942
_cell_length_c 6.9545
_cell_angle_alpha 83.48
_cell_angle_beta 63.37
_cell_angle_gamma 74.67
_symmetry_space_group_name_H-M 'P 1'
_symmetry_Int_Tables_number 1
_symmetry_space_group_name_Hall 'P 1'
loop_
_atom_site_label
_atom_site_type_symbol
_atom_site_fract_x
_atom_site_fract_y
_atom_site_fract_z
_atom_site_occupancy
Ac1 Ac 0.0000 0.0000 0.0000 1
Pr1 Pr 0.6326 0.2234 0.5115 1
Pr2 Pr 0.3674 0.7766 0.4885 1
Pr3 Pr 0.7553 0.6768 0.8127 1
Pr4 Pr 0.2447 0.3232 0.1873 1
Sm1 Sm 0.7839 0.9202 0.5119 1
Sm2 Sm 0.2161 0.0798 0.4881 1
Sm3 Sm 0.0588 0.6668 0.2156 1
Sm4 Sm 0.9412 0.3332 0.7844 1
Sm5 Sm 0.3695 0.5013 0.7597 1
Sm6 Sm 0.5000 0.0000 0.0000 1
Sm7 Sm 0.6305 0.4987 0.2403 1


No. 4
# PBE-GGA Ac2Pr6Sm5, optimized geometry
# Formation enthalpy at 0 K ... 1.30 eV/f.u.
# M_tot ... 0.000 μB/f.u.
data_Ac2Pr6Sm5
_cell_length_a 3.7399
_cell_length_b 12.2427
_cell_length_c 21.0439
_cell_angle_alpha 90.00
_cell_angle_beta 90.00
_cell_angle_gamma 90.00
_symmetry_space_group_name_H-M 'P 1'
_symmetry_Int_Tables_number 1
_symmetry_space_group_name_Hall 'P 1'
loop_
_atom_site_label
_atom_site_type_symbol
_atom_site_fract_x
_atom_site_fract_y
_atom_site_fract_z
_atom_site_occupancy
Ac1 Ac 0.0000 0.3334 0.2803 1
Ac2 Ac 0.0000 0.6666 0.7197 1
Ac3 Ac 0.0000 0.8334 0.2197 1
Ac4 Ac 0.0000 0.1666 0.7803 1
Pr1 Pr 0.0000 0.0736 0.3633 1
Pr2 Pr 0.0000 0.9264 0.6367 1
Pr3 Pr 0.0000 0.5736 0.1367 1
Pr4 Pr 0.0000 0.4264 0.8633 1
Pr5 Pr 0.5000 0.3165 0.1214 1
Pr6 Pr 0.5000 0.6835 0.8786 1
Pr7 Pr 0.5000 0.8165 0.3786 1
Pr8 Pr 0.5000 0.1835 0.6214 1
Pr9 Pr 0.0000 0.5571 0.4242 1
Pr10 Pr 0.0000 0.4429 0.5758 1
Pr11 Pr 0.0000 0.0571 0.0758 1
Pr12 Pr 0.0000 0.9429 0.9242 1
Sm1 Sm 0.5000 0.2973 0.4456 1
Sm2 Sm 0.5000 0.7027 0.5544 1
Sm3 Sm 0.5000 0.7973 0.0544 1
Sm4 Sm 0.5000 0.2027 0.9456 1
Sm5 Sm 0.5000 0.5930 0.2810 1
Sm6 Sm 0.5000 0.4070 0.7190 1
Sm7 Sm 0.5000 0.0930 0.2190 1
Sm8 Sm 0.5000 0.9070 0.7810 1
Sm9 Sm 0.5000 0.5000 0.0000 1
Sm10 Sm 0.5000 0.0000 0.5000 1


No. 5
# PBE-GGA Ac15Pr4Sm, optimized geometry
# Formation enthalpy at 0 K ... 0.47 eV/f.u.
# M_tot ... 0.000 μB/f.u.
data_Ac15Pr4Sm
_cell_length_a 5.5509
_cell_length_b 5.5509
_cell_length_c 27.6532
_cell_angle_alpha 90.00
_cell_angle_beta 90.00
_cell_angle_gamma 90.00
_symmetry_space_group_name_H-M 'P 1'
_symmetry_Int_Tables_number 1
_symmetry_space_group_name_Hall 'P 1'
loop_
_atom_site_label
_atom_site_type_symbol
_atom_site_fract_x
_atom_site_fract_y
_atom_site_fract_z
_atom_site_occupancy
Ac1 Ac 0.5000 0.5000 0.0000 1
Ac2 Ac 0.5000 0.5000 0.1996 1
Ac3 Ac 0.5000 0.5000 0.4000 1
Ac4 Ac 0.5000 0.5000 0.6000 1
Ac5 Ac 0.5000 0.5000 0.8004 1
Ac6 Ac 0.5000 0.0000 0.0993 1
Ac7 Ac 0.5000 0.0000 0.2998 1
Ac8 Ac 0.5000 0.0000 0.5000 1
Ac9 Ac 0.5000 0.0000 0.7002 1
Ac10 Ac 0.5000 0.0000 0.9007 1
Ac11 Ac 0.0000 0.5000 0.0993 1
Ac12 Ac 0.0000 0.5000 0.2998 1
Ac13 Ac 0.0000 0.5000 0.5000 1
Ac14 Ac 0.0000 0.5000 0.7002 1
Ac15 Ac 0.0000 0.5000 0.9007 1
Pr1 Pr 0.0000 0.0000 0.1997 1
Pr2 Pr 0.0000 0.0000 0.4000 1
Pr3 Pr 0.0000 0.0000 0.6000 1
Pr4 Pr 0.0000 0.0000 0.8003 1
Sm1 Sm 0.0000 0.0000 0.0000 1


No. 6
# PBE-GGA Ac2Pr6Sm3, optimized geometry
# Formation enthalpy at 0 K ... 0.28 eV/f.u.
# M_tot ... 0.000 μB/f.u.
data_Ac2Pr6Sm3
_cell_length_a 6.5073
_cell_length_b 8.3584
_cell_length_c 15.4293
_cell_angle_alpha 49.33
_cell_angle_beta 60.53
_cell_angle_gamma 97.24
_symmetry_space_group_name_H-M 'P 1'
_symmetry_Int_Tables_number 1
_symmetry_space_group_name_Hall 'P 1'
loop_
_atom_site_label
_atom_site_type_symbol
_atom_site_fract_x
_atom_site_fract_y
_atom_site_fract_z
_atom_site_occupancy
Ac1 Ac 0.6336 0.4540 0.0944 1
Ac2 Ac 0.3664 0.5460 0.9056 1
Pr1 Pr 0.0967 0.6392 0.7215 1
Pr2 Pr 0.7272 0.0980 0.8163 1
Pr3 Pr 0.9033 0.3608 0.2785 1
Pr4 Pr 0.2728 0.9020 0.1837 1
Pr5 Pr 0.8152 0.7201 0.5456 1
Pr6 Pr 0.1848 0.2799 0.4544 1
Sm1 Sm 0.0000 0.0000 0.0000 1
Sm2 Sm 0.5451 0.8106 0.3665 1
Sm3 Sm 0.4549 0.1894 0.6335 1


No. 7
# PBE-GGA AcPr3Sm, optimized geometry
# Formation enthalpy at 0 K ... 0.39 eV/f.u.
# Distance to the lowest polymorph of the same formula ... 0.0 meV per atom
# M_tot ... 0.000 μB/f.u.
data_AcPr3Sm
_cell_length_a 6.3984
_cell_length_b 7.0993
_cell_length_c 16.6024
_cell_angle_alpha 90.00
_cell_angle_beta 88.23
_cell_angle_gamma 90.00
_symmetry_space_group_name_H-M 'P 1'
_symmetry_Int_Tables_number 1
_symmetry_space_group_name_Hall 'P 1'
loop_
_atom_site_label
_atom_site_type_symbol
_atom_site_fract_x
_atom_site_fract_y
_atom_site_fract_z
_atom_site_occupancy
Ac1 Ac 0.2961 0.4377 0.1556 1
Ac2 Ac 0.2039 0.9377 0.3444 1
Ac3 Ac 0.7039 0.5623 0.8444 1
Ac4 Ac 0.7961 0.0623 0.6556 1
Pr1 Pr 0.1640 0.6658 0.5545 1
Pr2 Pr 0.3360 0.1658 0.9455 1
Pr3 Pr 0.8360 0.3342 0.4455 1
Pr4 Pr 0.6640 0.8342 0.0545 1
Pr5 Pr 0.8438 0.0533 0.8698 1
Pr6 Pr 0.6562 0.5533 0.6302 1
Pr7 Pr 0.1562 0.9467 0.1302 1
Pr8 Pr 0.3438 0.4467 0.3698 1
Pr9 Pr 0.6862 0.8381 0.4514 1
Pr10 Pr 0.8138 0.3381 0.0486 1
Pr11 Pr 0.3138 0.1619 0.5486 1
Pr12 Pr 0.1862 0.6619 0.9514 1
Sm1 Sm 0.7916 0.6295 0.2540 1
Sm2 Sm 0.7084 0.1295 0.2460 1
Sm3 Sm 0.2084 0.3705 0.7460 1
Sm4 Sm 0.2916 0.8705 0.7540 1


No. 8
# PBE-GGA AcPr7Sm4, optimized geometry
# Formation enthalpy at 0 K ... 0.13 eV/f.u.
# Distance to the lowest polymorph of the same formula ... 0.0 meV per atom
# M_tot ... 0.000 μB/f.u.
data_AcPr7Sm4
_cell_length_a 7.4842
_cell_length_b 6.4705
_cell_length_c 11.8778
_cell_angle_alpha 79.53
_cell_angle_beta 50.92
_cell_angle_gamma 90.01
_symmetry_space_group_name_H-M 'P 1'
_symmetry_Int_Tables_number 1
_symmetry_space_group_name_Hall 'P 1'
loop_
_atom_site_label
_atom_site_type_symbol
_atom_site_fract_x
_atom_site_fract_y
_atom_site_fract_z
_atom_site_occupancy
Ac1 Ac 0.0000 0.0000 0.0000 1
Pr1 Pr 0.7440 0.4997 0.0013 1
Pr2 Pr 0.2560 0.5003 0.9987 1
Pr3 Pr 0.0816 0.2804 0.6642 1
Pr4 Pr 0.9184 0.7196 0.3358 1
Pr5 Pr 0.3370 0.7740 0.6635 1
Pr6 Pr 0.5000 0.0000 0.0000 1
Pr7 Pr 0.6630 0.2260 0.3365 1
Sm1 Sm 0.4094 0.7216 0.3345 1
Sm2 Sm 0.5906 0.2784 0.6655 1
Sm3 Sm 0.8339 0.7809 0.6666 1
Sm4 Sm 0.1661 0.2191 0.3334 1


No. 9
# PBE-GGA Ac4Pr5Sm3, optimized geometry
# Formation enthalpy at 0 K ... 2.28 eV/f.u.
# M_tot ... 0.000 μB/f.u.
data_Ac4Pr5Sm3
_cell_length_a 6.2995
_cell_length_b 9.1033
_cell_length_c 10.0602
_cell_angle_alpha 104.59
_cell_angle_beta 71.75
_cell_angle_gamma 69.76
_symmetry_space_group_name_H-M 'P 1'
_symmetry_Int_Tables_number 1
_symmetry_space_group_name_Hall 'P 1'
loop_
_atom_site_label
_atom_site_type_symbol
_atom_site_fract_x
_atom_site_fract_y
_atom_site_fract_z
_atom_site_occupancy
Ac1 Ac 0.8470 0.2336 0.0724 1
Ac2 Ac 0.1571 0.0578 0.6279 1
Ac3 Ac 0.8429 0.9422 0.3721 1
Ac4 Ac 0.1530 0.7664 0.9276 1
Pr1 Pr 0.6243 0.9506 0.8007 1
Pr2 Pr 0.5000 0.5000 0.5000 1
Pr3 Pr 0.2172 0.4531 0.1126 1
Pr4 Pr 0.7828 0.5469 0.8874 1
Pr5 Pr 0.3757 0.0494 0.1993 1
Sm1 Sm 0.5177 0.6929 0.2718 1
Sm2 Sm 0.0000 0.5000 0.5000 1
Sm3 Sm 0.4823 0.3071 0.7282 1


> Look up the formation enthalpy at 0 K of the fifth one.

0.47 eV/f.u.


> Which value of formation enthalpy at 0 K does entry 1 give?

0.48 eV/f.u.


> Which of these has the highest M_tot?

AcPr4Sm7


> Which formula does entry 5 have?

Ac15Pr4Sm